3
Lattice="4.541 -1.665 0.000 4.541 1.665 0.000 -2.260 0.000 4.088" Properties=species:S:1:pos:R:3 comment="SnIrC PBE-GGA optimized geometry" total_magnetization_mub_per_atom=0.00 de_polymorph_mev_per_atom=179 volume_a3_per_cell=62 ef_ev_per_atom=0.6471 pbc="T T T"
Sn 0.000 0.000 0.000
Ir 4.328 0.000 3.183
C -0.058 0.000 2.279

5
Lattice="2.677 -8.357 0.000 2.677 8.357 0.000 0.000 0.000 3.493" Properties=species:S:1:pos:R:3 comment="Ho4Th PBE-GGA optimized geometry" total_magnetization_mub_per_atom=0.00 de_polymorph_mev_per_atom=0 volume_a3_per_cell=156 ef_ev_per_atom=0.0525 pbc="T T T"
Ho 2.677 6.565 0.000
Ho 2.677 3.329 1.747
Ho 2.677 -3.329 1.747
Ho 2.677 -6.565 0.000
Th 2.677 0.000 1.747

4
Lattice="2.655 -3.763 0.000 2.655 3.763 0.000 0.000 0.000 2.668" Properties=species:S:1:pos:R:3 comment="NiRu3 PBE-GGA optimized geometry" total_magnetization_mub_per_atom=0.00 volume_a3_per_cell=53 ef_ev_per_atom=0.1702 pbc="T T T"
Ni 0.000 0.000 0.000
Ru 1.328 1.882 1.334
Ru 1.328 -1.882 1.334
Ru 2.655 0.000 0.000

12
Lattice="9.715 0.000 0.000 0.000 4.058 0.000 -4.415 0.000 9.738" Properties=species:S:1:pos:R:3 comment="CsMnVTe3 PBE-GGA optimized geometry" total_magnetization_mub_per_atom=0.40 volume_a3_per_cell=384 raw_formation_energy_ev_per_atom=-0.48 pbc="T T T"
Cs -1.056 1.015 2.585
Cs 6.356 3.044 7.153
Mn 2.886 3.044 3.672
Mn 2.414 1.015 6.066
V 3.815 1.015 1.583
V 1.485 3.044 8.156
Te 1.912 3.044 1.271
Te 0.747 3.044 5.458
Te -0.441 1.015 8.520
Te 5.741 3.044 1.218
Te 4.553 1.015 4.281
Te 3.388 1.015 8.468

Number 1: density of states at the Fermi level 0.54 states/eV/cell. Number 2: density of states at the Fermi level 6.81 states/eV/cell. Number 3: density of states at the Fermi level 4.85 states/eV/cell. Number 4: density of states at the Fermi level 8.55 states/eV/cell.